(1)
Here is crystalline ZnSiP at its relaxed geometry from the Alexandria database. Energies are from PBE.

Structure (extended XYZ):
```
3
Lattice="3.054 -1.703 0.000 3.054 1.703 0.000 -0.710 0.000 4.968" Properties=species:S:1:pos:R:3 pbc="T T T"
Zn 0.000 0.000 0.000
Si 1.378 0.000 3.131
P 3.369 0.000 1.932
```

Computed properties:
Energy relative to the lowest polymorph listed for this composition = 203 meV per atom
ΔE_f (raw) = 68 meV/atom
Symmetry = No. 8


(2)
Here is crystalline LiHgBi at its relaxed geometry from the Alexandria database. Energies are from PBE.

Structure (extended XYZ):
```
3
Lattice="4.812 0.000 0.000 -2.406 4.167 0.000 0.000 0.000 3.651" Properties=species:S:1:pos:R:3 pbc="T T T"
Li 0.000 0.000 0.000
Hg 2.406 1.389 0.112
Bi 0.000 2.778 1.878
```

Computed properties:
Formation energy = -0.1807 eV per atom
Symmetry = No. 156


(3)
Here is crystalline NaHfIn at its relaxed geometry from the Alexandria database. Energies are from PBE.

Structure (extended XYZ):
```
6
Lattice="2.843 -1.646 0.000 2.843 1.646 0.000 -0.057 0.000 16.138" Properties=species:S:1:pos:R:3 pbc="T T T"
Na 0.000 0.000 0.000
Na 3.735 0.000 3.091
Hf 3.736 0.000 8.432
Hf 5.636 0.000 10.810
In 1.848 0.000 13.379
In 5.636 0.000 5.851
```

Computed properties:
Energy relative to the lowest polymorph listed for this composition = 64 meV per atom
Formation energy = -0.0281 eV per atom
Symmetry = No. 8


Volume for every record listed, in sequence, given in Å³ per cell: 51.7 73.2 151.0.